Entry 1:
A relaxed structure of Tb3Nd4In, computed with PBE.

abc: 11.384 7.199 6.259
angles: 90.00 90.00 90.00
Space group Pmn2_1 (No. 31)
Symmetry-distinct sites (fractional):
1 Tb 0.000 0.126 0.000 x2
2 Tb 0.246 0.115 0.321 x4
3 Nd 0.000 0.371 0.524 x2
4 Nd 0.000 0.633 0.971 x2
5 Nd 0.229 0.635 0.339 x4
6 In 0.000 0.893 0.502 x2

Output
Energy relative to the lowest polymorph listed for this composition   0.00 eV/f.u.
ΔH_f (0 K)   -0.096 eV per atom

Entry 2:
A relaxed structure of Sr2CaTi3O9, computed with PBE.

abc: 5.566 23.390 5.581
angles: 90.00 90.57 90.00
Space group Pm (No. 6)
Symmetry-distinct sites (fractional):
1 Sr 0.000 0.000 0.000 x1
2 Sr 0.492 0.167 0.485 x2
3 Sr 0.496 0.334 0.505 x2
4 Sr 0.498 0.000 0.505 x1
5 Sr 0.999 0.333 0.003 x2
6 Ca 0.002 0.167 0.965 x2
7 Ca 0.002 0.500 0.955 x1
8 Ca 0.492 0.500 0.455 x1
9 Ti 0.501 0.250 0.989 x2
10 Ti 0.502 0.084 0.989 x2
11 Ti 0.504 0.419 0.981 x2
12 Ti 0.992 0.419 0.479 x2
13 Ti 0.996 0.085 0.484 x2
14 Ti 0.996 0.250 0.486 x2
15 O 0.033 0.000 0.492 x1
16 O 0.036 0.334 0.495 x2
17 O 0.207 0.430 0.228 x2
18 O 0.212 0.095 0.234 x2
19 O 0.216 0.239 0.238 x2
20 O 0.251 0.244 0.747 x2
21 O 0.255 0.090 0.743 x2
22 O 0.274 0.428 0.728 x2
23 O 0.449 0.334 0.013 x2
24 O 0.452 0.000 0.020 x1
25 O 0.548 0.167 0.001 x2
26 O 0.559 0.500 0.020 x1
27 O 0.712 0.412 0.288 x2
28 O 0.718 0.079 0.279 x2
29 O 0.722 0.256 0.276 x2
30 O 0.751 0.259 0.772 x2
31 O 0.754 0.075 0.776 x2
32 O 0.769 0.409 0.787 x2
33 O 0.926 0.500 0.532 x1
34 O 0.948 0.167 0.534 x2

Output
Energy relative to the lowest polymorph listed for this composition   0.00 eV/f.u.

Entry 3:
A relaxed structure of InRhBr2, computed with PBE.

abc: 3.549 6.595 9.268
angles: 90.00 90.00 90.00
Space group Cmm2 (No. 35)
Symmetry-distinct sites (fractional):
1 In 0.000 0.000 0.000 x2
2 Rh 0.000 0.500 0.787 x2
3 Br 0.000 0.000 0.600 x2
4 Br 0.000 0.500 0.224 x2

Output
Energy relative to the lowest polymorph listed for this composition   0.76 eV/f.u.

Entry 4:
A relaxed structure of BaSnBiPd3, computed with PBE.

abc: 6.688 16.063 6.327
angles: 90.00 90.00 90.00
Space group Cmcm (No. 63)
Symmetry-distinct sites (fractional):
1 Ba 0.000 0.206 0.250 x4
2 Sn 0.000 0.067 0.750 x4
3 Bi 0.000 0.396 0.750 x4
4 Pd 0.000 0.229 0.750 x4
5 Pd 0.225 0.500 0.000 x8

Output
ΔH_f (0 K)   -0.432 eV per atom